Here is a relaxed SrAl crystal from Alexandria. Energies are from PBE.

abc: 13.182 4.016 7.656
angles: 90.00 112.49 90.00
Atoms (fractional coordinates):
Sr  0.000  0.000  0.000
Sr  0.013  0.000  0.538
Sr  0.287  0.000  0.147
Sr  0.500  0.500  0.000
Sr  0.513  0.500  0.538
Sr  0.787  0.500  0.147
Al  0.177  0.500  0.391
Al  0.222  0.500  0.778
Al  0.307  0.000  0.623
Al  0.677  0.000  0.391
Al  0.722  0.000  0.778
Al  0.807  0.500  0.623

Values from the calculation:
- E: -2.81 eV/atom
- Total magnetization: 0.00 μB/cell
- Calculated volume: 374.48 Å³ per cell